# Sm3PaSe4 PBE relaxed
data_Sm3PaSe4
_chemical_formula_sum 'Sm9 Pa3 Se12'
_space_group_name_H-M_alt 'R -3 m'
_space_group_IT_number 166
_space_group_name_Hall '-R 3 2"'
_cell_length_a 4.1010
_cell_length_b 4.1010
_cell_length_c 41.5253
_cell_angle_alpha 90.00
_cell_angle_beta 90.00
_cell_angle_gamma 120.00
loop_
_atom_site_label
_atom_site_type_symbol
_atom_site_fract_x
_atom_site_fract_y
_atom_site_fract_z
Sm1 Sm 0.0000 0.0000 0.0000
Sm2 Sm 0.0000 0.0000 0.2486
Pa1 Pa 0.0000 0.0000 0.5000
Se1 Se 0.0000 0.0000 0.1258
Se2 Se 0.0000 0.0000 0.3753
# volume = 604.8 Å³ per cell
# E = -152.433 eV per cell
# formation energy from raw total energies = -1.65 eV/atom
# size of the total moment = 2.8 μB/cell